Crystalline MnGePbO2 at its relaxed geometry. Source: Alexandria via LeMat-Bulk, functional GGA+U.

The space group is P4/mmm (No. 123) and the conventional cell measures 4.2070, 4.2070 and 5.8324 Å, with angles of 90.00, 90.00 and 90.00 degrees. Symmetry generates all atoms from Mn at (0.0000, 0.0000, 0.0000), Ge at (0.5000, 0.5000, 0.0000), Pb at (0.5000, 0.5000, 0.5000) and O at (0.0000, 0.5000, 0.5000).

The calculation puts the total energy at -4.9267 eV per atom.